[1]
Material: Hf3Co2
Method: DFT, PBE
State: relaxed

a b c (Å): 6.046 6.046 6.721
angles (deg): 116.73 63.27 120.00
Atoms (fractional coordinates):
Hf1 0.750 0.861 0.750
Hf2 0.639 0.750 0.250
Hf3 0.250 0.139 0.250
Hf4 0.361 0.250 0.750
Hf5 0.861 0.361 0.250
Hf6 0.139 0.639 0.750
Co1 0.817 0.183 0.548
Co2 0.183 0.817 0.452
Co3 0.683 0.317 0.952
Co4 0.317 0.683 0.048

Calculated values
V = 18.2 A^3/atom
Magnetic moment = 0.010 μB per cell
Electronic total energy = -8.94 eV/atom
Formation enthalpy at 0 K = -59 kJ/mol of formula units

[2]
Material: Pm2Zn
Method: DFT, PBE
State: relaxed

a b c (Å): 5.041 5.041 5.041
angles (deg): 60.00 60.00 60.00
Atoms (fractional coordinates):
Pm1 0.750 0.750 0.750
Pm2 0.250 0.250 0.250
Zn1 0.000 0.000 0.000

Calculated values
V = 30.2 A^3/atom
Magnetic moment = 0.074 μB per cell
Electronic total energy = -3.56 eV/atom
Formation enthalpy at 0 K = 8 kJ/mol of formula units

[3]
Material: ErAg2O4
Method: DFT, PBE
State: relaxed

a b c (Å): 6.482 6.482 5.848
angles (deg): 116.20 116.20 101.44
Atoms (fractional coordinates):
Ag1 0.000 0.500 0.500
Ag2 0.500 0.000 0.000
Ag3 0.500 0.500 0.500
Ag4 0.500 0.500 0.000
O1 0.479 0.847 0.236
O2 0.110 0.245 0.581
O3 0.755 0.890 0.919
O4 0.153 0.521 0.264
O5 0.847 0.479 0.736
O6 0.890 0.755 0.419
O7 0.245 0.110 0.081
O8 0.521 0.153 0.764
Er1 0.125 0.875 0.250
Er2 0.875 0.125 0.750

Calculated values
V = 12.3 A^3/atom
Magnetic moment = 0.157 μB per cell
Electronic total energy = -5.60 eV/atom

[4]
Material: Pm4UN5
Method: DFT, PBE
State: relaxed

a b c (Å): 6.142 6.142 6.142
angles (deg): 99.66 99.66 131.63
Last column: magnetic moment on the atom in μB.
Atoms (fractional coordinates):
N1 0.270 0.912 0.179  -0.01
N2 0.912 0.732 0.642  -0.01
N3 0.501 0.501 0.000  -0.01
N4 0.091 0.270 0.358  -0.01
N5 0.732 0.091 0.821  -0.01
Pm1 0.201 0.602 0.800  0.00
Pm2 0.400 0.201 0.599  0.00
Pm3 0.801 0.400 0.200  0.00
Pm4 0.602 0.801 0.401  0.00
U1 0.001 0.001 0.000  0.21

Calculated values
V = 15.8 A^3/atom
Magnetic moment = 0.223 μB per cell
Electronic total energy = -8.67 eV/atom

[5]
Material: TlNi3Sn5
Method: DFT, PBE
State: relaxed

a b c (Å): 5.245 5.245 8.114
angles (deg): 90.00 90.00 120.00
Atoms (fractional coordinates):
Tl1 0.000 0.000 0.000
Sn1 0.667 0.333 0.223
Sn2 0.333 0.667 0.777
Sn3 0.000 0.000 0.500
Sn4 0.667 0.333 0.777
Sn5 0.333 0.667 0.223
Ni1 0.500 0.500 0.500
Ni2 0.500 0.000 0.500
Ni3 0.000 0.500 0.500

Calculated values
V = 21.5 A^3/atom
Magnetic moment = 0.005 μB per cell
Electronic total energy = -4.46 eV/atom

[6]
Material: Ta8Re7
Method: DFT, PBE
State: relaxed

a b c (Å): 9.904 9.904 5.157
angles (deg): 90.00 90.00 90.00
Atoms (fractional coordinates):
Ta1 0.037 0.638 0.500
Ta2 0.060 0.745 0.000
Ta3 0.560 0.755 0.500
Ta4 0.638 0.037 0.500
Ta5 0.862 0.537 0.000
Ta6 0.440 0.245 0.500
Ta7 0.362 0.963 0.500
Ta8 0.963 0.362 0.500
Ta9 0.745 0.060 0.000
Ta10 0.463 0.138 0.000
Ta11 0.138 0.463 0.000
Ta12 0.755 0.560 0.500
Ta13 0.537 0.862 0.000
Ta14 0.940 0.255 0.000
Ta15 0.245 0.440 0.500
Ta16 0.255 0.940 0.000
Re1 0.190 0.190 0.254
Re2 0.310 0.690 0.754
Re3 0.000 0.000 0.000
Re4 0.596 0.596 0.000
Re5 0.500 0.500 0.500
Re6 0.096 0.904 0.500
Re7 0.690 0.310 0.246
Re8 0.810 0.810 0.254
Re9 0.690 0.310 0.754
Re10 0.810 0.810 0.746
Re11 0.404 0.404 0.000
Re12 0.310 0.690 0.246
Re13 0.190 0.190 0.746
Re14 0.904 0.096 0.500

Calculated values
V = 16.9 A^3/atom
Magnetic moment = 0.002 μB per cell
Electronic total energy = -12.09 eV/atom
Formation enthalpy at 0 K = 39 kJ/mol of formula units

[7]
Material: BaTbMo
Method: DFT, PBE
State: relaxed

a b c (Å): 5.163 5.163 5.163
angles (deg): 60.00 60.00 60.00
Atoms (fractional coordinates):
Ba1 0.000 0.000 0.000
Tb1 0.750 0.750 0.750
Mo1 0.250 0.250 0.250

Calculated values
V = 32.4 A^3/atom
Magnetic moment = 3.043 μB per cell
Electronic total energy = -4.11 eV/atom

[8]
Material: CsTmSiS4
Method: DFT, PBE
State: relaxed

a b c (Å): 6.324 6.674 17.773
angles (deg): 90.00 90.00 90.00
Atoms (fractional coordinates):
S1 0.443 0.487 0.598
S2 0.936 0.250 0.649
S3 0.557 0.987 0.902
S4 0.436 0.250 0.351
S5 0.602 0.420 0.780
S6 0.602 0.253 0.158
S7 0.564 0.750 0.149
S8 0.398 0.920 0.720
S9 0.898 0.580 0.280
S10 0.398 0.753 0.342
S11 0.102 0.080 0.220
S12 0.898 0.747 0.658
S13 0.064 0.750 0.851
S14 0.943 0.013 0.402
S15 0.057 0.513 0.098
S16 0.102 0.247 0.842
Si1 0.709 0.482 0.669
Si2 0.291 0.982 0.831
Si3 0.209 0.018 0.331
Si4 0.791 0.518 0.169
Cs1 0.998 0.508 0.468
Cs2 0.502 0.492 0.968
Cs3 0.002 0.008 0.032
Cs4 0.498 0.992 0.532
Tm1 0.291 0.479 0.229
Tm2 0.709 0.979 0.271
Tm3 0.209 0.521 0.729
Tm4 0.791 0.021 0.771

Calculated values
V = 26.8 A^3/atom
Magnetic moment = 0.002 μB per cell
Electronic total energy = -5.33 eV/atom

[9]
Material: YAlCuW
Method: DFT, PBE
State: relaxed

a b c (Å): 4.708 4.708 4.708
angles (deg): 60.00 60.00 60.00
Atoms (fractional coordinates):
Cu1 0.750 0.750 0.750
W1 0.500 0.500 0.500
Y1 0.250 0.250 0.250
Al1 0.000 0.000 0.000

Calculated values
V = 18.4 A^3/atom
Magnetic moment = 2.043 μB per cell
Electronic total energy = -6.03 eV/atom

[10]
Material: SrTlOs
Method: DFT, PBE
State: relaxed

a b c (Å): 4.853 4.853 4.853
angles (deg): 60.00 60.00 60.00
Atoms (fractional coordinates):
Tl1 0.750 0.750 0.750
Os1 0.000 0.000 0.000
Sr1 0.250 0.250 0.250

Calculated values
V = 26.9 A^3/atom
Magnetic moment = 0.555 μB per cell
Electronic total energy = -4.31 eV/atom

[11]
Material: GdLuPt2
Method: DFT, PBE
State: relaxed

a b c (Å): 5.548 4.489 6.970
angles (deg): 90.00 91.18 90.00
Atoms (fractional coordinates):
Gd1 0.358 0.750 0.316
Gd2 0.642 0.250 0.684
Lu1 0.140 0.750 0.820
Lu2 0.860 0.250 0.180
Pt1 0.662 0.750 0.960
Pt2 0.338 0.250 0.040
Pt3 0.849 0.750 0.451
Pt4 0.151 0.250 0.549

Calculated values
V = 21.7 A^3/atom
Magnetic moment = 0.007 μB per cell
Electronic total energy = -6.61 eV/atom
Formation enthalpy at 0 K = -499 kJ/mol of formula units

[12]
Material: LiCdPSO3
Method: DFT, PBE
State: relaxed

a b c (Å): 5.117 5.138 5.324
angles (deg): 91.15 116.40 117.93
Atoms (fractional coordinates):
O1 0.249 0.787 0.322
O2 0.755 0.081 0.246
O3 0.735 0.687 0.543
P1 0.526 0.775 0.286
Cd1 0.968 0.968 0.998
Li1 0.945 0.501 0.443
S1 0.322 0.450 0.911

Calculated values
V = 15.1 A^3/atom
Electronic total energy = -5.57 eV/atom

[13]
Material: Sc3Re2Si4
Method: DFT, PBE
State: relaxed

a b c (Å): 5.354 10.174 11.646
angles (deg): 95.23 103.29 105.26
Atoms (fractional coordinates):
Si1 0.717 0.565 0.111
Si2 0.880 0.277 0.928
Si3 0.120 0.723 0.072
Si4 0.376 0.606 0.375
Si5 0.541 0.935 0.389
Si6 0.363 0.250 0.250
Si7 0.174 0.223 0.572
Si8 0.888 0.250 0.250
Si9 0.637 0.750 0.750
Si10 0.894 0.894 0.125
Si11 0.283 0.435 0.889
Si12 0.624 0.394 0.625
Si13 0.459 0.065 0.611
Si14 0.106 0.106 0.875
Si15 0.112 0.750 0.750
Si16 0.826 0.777 0.428
Sc1 0.932 0.967 0.639
Sc2 0.825 0.533 0.861
Sc3 0.459 0.994 0.157
Sc4 0.192 0.494 0.657
Sc5 0.299 0.780 0.546
Sc6 0.473 0.720 0.954
Sc7 0.808 0.506 0.343
Sc8 0.175 0.467 0.139
Sc9 0.541 0.006 0.843
Sc10 0.701 0.220 0.454
Sc11 0.068 0.033 0.361
Sc12 0.527 0.280 0.046
Re1 0.283 0.372 0.423
Re2 0.717 0.628 0.577
Re3 0.891 0.245 0.717
Re4 0.428 0.255 0.783
Re5 0.012 0.872 0.923
Re6 0.988 0.128 0.077
Re7 0.109 0.755 0.283
Re8 0.572 0.745 0.217

Calculated values
V = 16.3 A^3/atom
Magnetic moment = 0.034 μB per cell
Electronic total energy = -8.00 eV/atom

[14]
Material: Zr3Fe2
Method: DFT, PBE
State: relaxed

a b c (Å): 6.153 6.153 6.785
angles (deg): 116.97 63.03 120.00
Atoms (fractional coordinates):
Zr1 0.881 0.381 0.250
Zr2 0.750 0.881 0.750
Zr3 0.119 0.619 0.750
Zr4 0.619 0.750 0.250
Zr5 0.250 0.119 0.250
Zr6 0.381 0.250 0.750
Fe1 0.822 0.178 0.535
Fe2 0.178 0.822 0.465
Fe3 0.678 0.322 0.965
Fe4 0.322 0.678 0.035

Calculated values
V = 19.0 A^3/atom
Magnetic moment = 0.009 μB per cell
Electronic total energy = -8.37 eV/atom
Formation enthalpy at 0 K = 40 kJ/mol of formula units

[15]
Material: AlCdSi
Method: DFT, PBE
State: relaxed

a b c (Å): 4.482 4.482 4.482
angles (deg): 60.00 60.00 60.00
Atoms (fractional coordinates):
Cd1 0.000 0.000 0.000
Si1 0.750 0.750 0.750
Al1 0.250 0.250 0.250

Calculated values
V = 21.2 A^3/atom
Electronic total energy = -2.88 eV/atom

[16]
Material: H4W
Method: DFT, PBE
State: relaxed

a b c (Å): 3.057 3.057 6.809
angles (deg): 90.00 90.00 90.00
Atoms (fractional coordinates):
H1 0.000 0.500 0.395
H2 0.000 0.000 0.298
H3 0.000 0.500 0.867
H4 0.500 0.500 0.298
H5 0.500 0.000 0.605
H6 0.000 0.000 0.702
H7 0.500 0.500 0.702
H8 0.500 0.000 0.133
W1 0.500 0.000 0.859
W2 0.000 0.500 0.141

Calculated values
V = 6.4 A^3/atom
Magnetic moment = 0.001 μB per cell
Electronic total energy = -5.16 eV/atom

[17]
Material: CsAg3SnSe4
Method: DFT, PBE
State: relaxed

a b c (Å): 6.463 7.972 10.761
angles (deg): 90.00 105.67 90.00
Atoms (fractional coordinates):
Sn1 0.122 0.250 0.272
Sn2 0.878 0.750 0.728
Cs1 0.792 0.750 0.133
Cs2 0.208 0.250 0.867
Ag1 0.696 0.058 0.470
Ag2 0.696 0.442 0.470
Ag3 0.304 0.942 0.530
Ag4 0.304 0.558 0.530
Ag5 0.582 0.250 0.226
Ag6 0.418 0.750 0.774
Se1 0.184 0.750 0.932
Se2 0.350 0.520 0.276
Se3 0.048 0.250 0.498
Se4 0.952 0.750 0.502
Se5 0.350 0.980 0.276
Se6 0.650 0.480 0.724
Se7 0.650 0.020 0.724
Se8 0.816 0.250 0.068

Calculated values
V = 29.7 A^3/atom
Electronic total energy = -3.46 eV/atom

[18]
Material: La2TbSn4Pb3
Method: DFT, PBE
State: relaxed

a b c (Å): 13.352 13.352 4.721
angles (deg): 90.00 90.00 159.89
Atoms (fractional coordinates):
Pb1 0.594 0.406 0.000
Pb2 0.500 0.500 0.500
Pb3 0.406 0.594 0.000
Sn1 0.711 0.289 0.500
Sn2 0.095 0.905 0.500
Sn3 0.905 0.095 0.500
Sn4 0.289 0.711 0.500
Tb1 0.000 0.000 0.000
La1 0.186 0.814 0.000
La2 0.814 0.186 0.000

Calculated values
V = 28.9 A^3/atom
Magnetic moment = 0.015 μB per cell
Electronic total energy = -4.69 eV/atom

[19]
Material: Y4Si3W2N3
Method: DFT, PBE
State: relaxed

a b c (Å): 5.822 5.822 13.494
angles (deg): 102.45 102.45 60.32
Atoms (fractional coordinates):
Si1 0.173 0.827 0.250
Si2 0.341 0.412 0.751
Si3 0.659 0.588 0.249
Si4 0.588 0.659 0.749
Si5 0.412 0.341 0.251
Si6 0.827 0.173 0.750
N1 0.339 0.822 0.000
N2 0.661 0.178 0.000
N3 0.000 0.500 0.000
N4 0.178 0.661 0.500
N5 0.822 0.339 0.500
N6 0.500 0.000 0.500
Y1 0.039 0.200 0.106
Y2 0.296 0.128 0.894
Y3 0.872 0.704 0.606
Y4 0.800 0.961 0.394
Y5 0.704 0.872 0.106
Y6 0.128 0.296 0.394
Y7 0.200 0.039 0.606
Y8 0.961 0.800 0.894
W1 0.641 0.474 0.920
W2 0.526 0.359 0.580
W3 0.474 0.641 0.420
W4 0.359 0.526 0.080

Calculated values
V = 16.0 A^3/atom
Magnetic moment = 0.004 μB per cell
Electronic total energy = -8.56 eV/atom

[20]
Material: BaMgSn2Pd
Method: DFT, PBE
State: relaxed

a b c (Å): 4.801 4.801 11.732
angles (deg): 90.00 90.00 90.00
Atoms (fractional coordinates):
Mg1 0.000 0.000 0.000
Mg2 0.500 0.500 0.000
Sn1 0.000 0.500 0.849
Sn2 0.500 0.000 0.151
Sn3 0.500 0.500 0.500
Sn4 0.000 0.000 0.500
Pd1 0.500 0.000 0.383
Pd2 0.000 0.500 0.617
Ba1 0.000 0.500 0.261
Ba2 0.500 0.000 0.739

Calculated values
V = 27.0 A^3/atom
Electronic total energy = -3.96 eV/atom